1.
Compound: Ho2Co
Source: OQMD
Functional: PBE
Structure: relaxed

The value obtained for the energy of formation from the pure elements is 1.134 eV per atom.

The space group is Fd-3m (No. 227, origin choice 2) and the conventional cell measures 8.346, 8.346 and 8.346 Å, with angles of 90.00, 90.00 and 90.00 degrees. The distinct sites, in fractional coordinates, are Ho at (0.000, 0.000, 0.000) and Co at (0.125, 0.125, 0.625).

***

2.
Compound: Er2TmNi2B2N3
Source: OQMD
Functional: PBE
Structure: relaxed

The space group is I4/mmm (No. 139) and the conventional cell measures 3.429, 3.429 and 19.883 Å, with angles of 90.00, 90.00 and 90.00 degrees. The distinct sites, in fractional coordinates, are Er at (0.000, 0.000, 0.122), Tm at (0.000, 0.000, 0.500), Ni at (0.000, 0.500, 0.250), B at (0.000, 0.000, 0.312), N at (0.000, 0.000, 0.000) and N at (0.000, 0.000, 0.385).

***

3.
Compound: Li2Y2Al2AgAu
Source: OQMD
Functional: PBE
Structure: relaxed

The space group is P-4m2 (No. 115) and the conventional cell measures 4.742, 4.742 and 6.711 Å, with angles of 90.00, 90.00 and 90.00 degrees. The distinct sites, in fractional coordinates, are Li at (0.000, 0.000, 0.000), Li at (0.500, 0.500, 0.500), Y at (0.000, 0.500, 0.749), Al at (0.000, 0.500, 0.249), Ag at (0.500, 0.500, 0.000) and Au at (0.000, 0.000, 0.500).

***

4.
Compound: Y2ErAl3FeCu2
Source: OQMD
Functional: PBE
Structure: relaxed

The space group is Amm2 (No. 38) and the conventional cell measures 3.826, 12.346 and 7.133 Å, with angles of 90.00, 90.00 and 90.00 degrees. The distinct sites, in fractional coordinates, are Y at (0.000, 0.208, 0.000), Er at (0.000, 0.000, 0.377), Al at (0.500, 0.000, 0.030), Al at (0.500, 0.119, 0.672), Fe at (0.000, 0.000, 0.788) and Cu at (0.500, 0.165, 0.293).

***

5.
Compound: Li4Zn2NiPd
Source: OQMD
Functional: PBE
Structure: relaxed

The space group is P-4m2 (No. 115) and the conventional cell measures 4.212, 4.212 and 5.953 Å, with angles of 90.00, 90.00 and 90.00 degrees. The distinct sites, in fractional coordinates, are Li at (0.000, 0.000, 0.000), Li at (0.000, 0.500, 0.245), Li at (0.500, 0.500, 0.500), Zn at (0.000, 0.500, 0.765), Ni at (0.500, 0.500, 0.000) and Pd at (0.000, 0.000, 0.500).

***

6.
Compound: Hf4TlZnN2
Source: OQMD
Functional: PBE
Structure: relaxed

The space group is P-6m2 (No. 187) and the conventional cell measures 3.2520, 3.2520 and 14.2739 Å, with angles of 90.00, 90.00 and 120.00 degrees. The distinct sites, in fractional coordinates, are Hf at (0.0000, 0.0000, 0.1546), Hf at (0.3333, 0.6667, 0.3266), Tl at (0.0000, 0.0000, 0.5000), Zn at (0.3333, 0.6667, 0.0000) and N at (0.6667, 0.3333, 0.2402).

***

7.
Compound: K2PtC4S4N4
Source: OQMD
Functional: PBE
Structure: relaxed

The space group is P2_1/c (No. 14) and the conventional cell measures 4.098, 14.351 and 11.406 Å, with angles of 90.00, 96.74 and 90.00 degrees. The distinct sites, in fractional coordinates, are K at (0.052, 0.203, 0.480), Pt at (0.500, 0.000, 0.500), C at (0.404, 0.621, 0.781), C at (0.452, 0.101, 0.261), S at (0.376, 0.118, 0.123), S at (0.409, 0.643, 0.644), N at (0.400, 0.604, 0.884) and N at (0.488, 0.589, 0.134).

***

8.
Compound: TmZn
Source: OQMD
Functional: PBE
Structure: relaxed

The value obtained for the energy of formation from the pure elements is -0.139 eV per atom.

The space group is Pmmn (No. 59, origin choice 2) and the conventional cell measures 3.710, 5.260 and 4.776 Å, with angles of 90.00, 90.00 and 90.00 degrees. The distinct sites, in fractional coordinates, are Tm at (0.250, 0.250, 0.117) and Zn at (0.250, 0.750, 0.399).

***

no.,total energy (eV/atom)
1,-4.2859
2,-7.5716
3,-4.2666
4,-5.3244
5,-2.9051
6,-8.4613
7,-6.4077
8,-3.0088